A relaxed Sr2Cl crystal, computed with GGA-PBE.

abc: 8.267 8.267 8.267
angles: 151.93 149.97 41.57
Fractional coordinates of all 3 atoms:
Sr  0.150  0.150  0.000
Sr  0.850  0.850  0.000
Cl  0.000  0.500  0.500

Calculated values
The total energy is -2.81 eV/atom. The formation energy without anion corrections comes out at -1.068 eV per atom.